(1)
The following is a PBE calculation of an optimized crystal structure of LiGaC, from Alexandria.

As for the density of states at the Fermi level: 0.28 states/eV/f.u. The crystal system is orthorhombic. As for the energy relative to the elements: 27 kJ/mol of formula units.

a b c (Å): 2.583 3.738 8.329
angles (deg): 90.00 90.00 90.00
Space group Pmm2 (No. 25)
Unique sites:
Li  0.000  0.000  0.000
Li  0.500  0.500  0.339
Ga  0.000  0.000  0.570
Ga  0.500  0.500  0.786
C  0.000  0.500  0.135
C  0.500  0.500  0.062

***

(2)
The following is a PBE calculation of an optimized crystal structure of YSe2, from Alexandria.

As for the density of states at the Fermi level: 1.31 states/eV/f.u. The crystal system is hexagonal. Its uncorrected formation energy is -827 meV per atom.

a b c (Å): 4.7846 4.7846 3.5525
angles (deg): 90.00 90.00 120.00
Space group P6/mmm (No. 191)
Unique sites:
Y  0.0000  0.0000  0.0000
Se  0.3333  0.6667  0.5000

***

(3)
The following is a PBE calculation of an optimized crystal structure of SrMgSn2Pd2, from Alexandria.

As for the density of states at the Fermi level: 3.22 states/eV/f.u. The crystal system is tetragonal. As for the energy relative to the elements: -247 kJ/mol of formula units.

a b c (Å): 4.830 4.830 6.247
angles (deg): 90.00 90.00 90.00
Space group P4/mmm (No. 123)
Unique sites:
Sr  0.000  0.000  0.000
Mg  0.000  0.000  0.500
Sn  0.500  0.500  0.249
Pd  0.000  0.500  0.500

***

(4)
The following is a PBE calculation of an optimized crystal structure of PbSeBr2, from Alexandria.

As for the density of states at the Fermi level: 2.09 states/eV/f.u. The crystal system is orthorhombic. As for the energy above the most stable polymorph in this dataset: 295 meV/atom. Its uncorrected formation energy is -169 meV per atom.

a b c (Å): 4.014 4.612 5.942
angles (deg): 90.00 90.00 90.00
Space group Pmmm (No. 47)
Unique sites:
Pb  0.000  0.000  0.000
Se  0.500  0.000  0.500
Br  0.000  0.500  0.500
Br  0.500  0.500  0.000

***

(5)
The following is a PBE calculation of an optimized crystal structure of Ga2ReMo, from Alexandria.

As for the density of states at the Fermi level: 4.48 states/eV/f.u. The crystal system is cubic. As for the energy relative to the elements: 93 kJ/mol of formula units. As for the energy above the most stable polymorph in this dataset: 108 meV/atom.

a b c (Å): 6.200 6.200 6.200
angles (deg): 90.00 90.00 90.00
Space group Fm-3m (No. 225)
Unique sites:
Ga  0.250  0.250  0.250
Re  0.000  0.000  0.000
Mo  0.000  0.000  0.500

***

(6)
The following is a PBE calculation of an optimized crystal structure of PAuI3, from Alexandria.

As for the density of states at the Fermi level: 0.07 states/eV/f.u. The crystal system is triclinic. As for the energy above the most stable polymorph in this dataset: 0 meV/atom. Its uncorrected formation energy is -45 meV per atom.

a b c (Å): 4.232 9.769 11.191
angles (deg): 86.31 82.61 82.98
Space group P-1 (No. 2)
Unique sites:
P  0.175  0.044  0.046
Au  0.495  0.156  0.886
I  0.010  0.701  0.219
I  0.108  0.789  0.778
I  0.473  0.615  0.596